8
Lattice="8.5768 0.0000 0.0000 0.0000 3.0038 0.0000 -0.9122 0.0000 4.8247" Properties=species:S:1:pos:R:3 comment="CuRe2Te | the Alexandria database | SCAN | PBEsol geometry" formation_energy_uncorrected_ev_per_fu=2.84 spacegroup="C2/m, No. 12" total_magnetization_mub_per_cell=0.0 density_g_cm3=15.06 pbc="T T T"
Cu 0.0000 0.0000 0.0000
Cu 4.2884 1.5019 0.0000
Re 1.8843 1.5019 1.0706
Re 1.4919 0.0000 3.7541
Re 6.1727 0.0000 1.0706
Re 5.7803 1.5019 3.7541
Te -0.4561 1.5019 2.4123
Te 3.8323 0.0000 2.4123



12
Lattice="3.3585 0.0000 0.0000 -1.6793 2.9086 0.0000 0.0000 0.0000 23.5442" Properties=species:S:1:pos:R:3 comment="Mg2RhBr | the Alexandria database | SCAN | PBEsol geometry" formation_energy_uncorrected_ev_per_fu=-2.04 spacegroup="R-3m, No. 166" e_above_lowest_polymorph_ev_per_atom=0.020 total_magnetization_mub_per_cell=0.0 density_g_cm3=5.01 pbc="T T T"
Mg 0.0000 0.0000 5.6724
Mg 0.0000 0.0000 17.8718
Mg 0.0000 1.9391 10.0237
Mg 0.0000 1.9391 21.3686
Mg 1.6793 0.9695 2.1757
Mg 1.6793 0.9695 13.5205
Rh 0.0000 0.0000 11.7721
Rh 0.0000 1.9391 3.9240
Rh 1.6793 0.9695 19.6202
Br 0.0000 0.0000 0.0000
Br 0.0000 1.9391 15.6962
Br 1.6793 0.9695 7.8481



5
Lattice="4.6368 0.0000 0.0000 0.0000 4.6368 0.0000 0.0000 0.0000 5.0394" Properties=species:S:1:pos:R:3 comment="MgScOs2I | the Alexandria database | SCAN | PBEsol geometry" formation_energy_uncorrected_ev_per_fu=8.67 spacegroup="P4/mmm, No. 123" total_magnetization_mub_per_cell=2.7 density_g_cm3=8.84 pbc="T T T"
Mg 0.0000 0.0000 0.0000
Sc 2.3184 2.3184 2.5197
Os 0.0000 2.3184 0.0000
Os 2.3184 0.0000 0.0000
I 0.0000 0.0000 2.5197



4
Lattice="2.8137 0.0000 0.0000 0.0000 4.7002 0.0000 0.0000 0.0000 4.9439" Properties=species:S:1:pos:R:3 comment="CaTaCu2 | the Alexandria database | SCAN | PBEsol geometry" spacegroup="Pmm2, No. 25" e_form_ev_per_atom=0.25 total_magnetization_mub_per_cell=0.0 density_g_cm3=8.84 pbc="T T T"
Ca 0.0000 0.0000 0.0000
Ta 0.0000 2.3501 2.8027
Cu 1.4068 0.0000 2.4043
Cu 1.4068 2.3501 0.4861



5
Lattice="4.8132 0.0000 0.0000 0.0000 4.8132 0.0000 0.0000 0.0000 4.8132" Properties=species:S:1:pos:R:3 comment="HgGe3Pd | the Alexandria database | SCAN | PBEsol geometry" spacegroup="Pm-3m, No. 221" e_form_ev_per_atom=0.31 total_magnetization_mub_per_cell=0.0 density_g_cm3=7.82 pbc="T T T"
Hg 0.0000 0.0000 0.0000
Ge 0.0000 2.4066 2.4066
Ge 2.4066 0.0000 2.4066
Ge 2.4066 2.4066 0.0000
Pd 2.4066 2.4066 2.4066



8
Lattice="3.6460 0.0000 0.0000 0.0000 3.6460 0.0000 0.0000 0.0000 8.5584" Properties=species:S:1:pos:R:3 comment="TcPW2 | the Alexandria database | SCAN | PBEsol geometry" spacegroup="I-4m2, No. 119" e_form_ev_per_atom=0.29 total_magnetization_mub_per_cell=0.0 density_g_cm3=14.50 pbc="T T T"
Tc 0.0000 0.0000 0.0000
Tc 1.8230 1.8230 4.2792
P 0.0000 1.8230 6.4188
P 1.8230 0.0000 2.1396
W 0.0000 0.0000 4.2792
W 0.0000 1.8230 2.1396
W 1.8230 0.0000 6.4188
W 1.8230 1.8230 0.0000



9
Lattice="5.6973 0.0000 0.0000 -2.8486 4.9340 0.0000 0.0000 0.0000 3.3661" Properties=species:S:1:pos:R:3 comment="FeNiP | the Alexandria database | SCAN | PBEsol geometry" spacegroup="P-62m, No. 189" e_form_ev_per_atom=-0.44 total_magnetization_mub_per_cell=5.1 density_g_cm3=7.66 pbc="T T T"
Fe -1.1435 1.9805 0.0000
Fe 2.2869 0.0000 0.0000
Fe 1.7052 2.9534 0.0000
Ni -2.1172 3.6670 1.6830
Ni 0.7315 1.2669 1.6830
Ni 4.2343 0.0000 1.6830
P 0.0000 0.0000 0.0000
P 0.0000 3.2893 1.6830
P 2.8486 1.6447 1.6830



8
Lattice="2.9219 0.0000 0.0000 0.0000 4.1357 0.0000 0.0000 0.0000 8.1942" Properties=species:S:1:pos:R:3 comment="Cr3W | the Alexandria database | SCAN | PBEsol geometry" spacegroup="Immm, No. 71" e_form_ev_per_atom=0.06 total_magnetization_mub_per_cell=0.0 density_g_cm3=11.40 pbc="T T T"
Cr 0.0000 0.0000 0.0000
Cr 0.0000 2.0678 2.0825
Cr 0.0000 2.0678 6.1117
Cr 1.4609 0.0000 2.0146
Cr 1.4609 0.0000 6.1796
Cr 1.4609 2.0678 4.0971
W 0.0000 0.0000 4.0971
W 1.4609 2.0678 0.0000